1.
# Ta2CdS (GGA-PBE, relaxed)
# Formation energy without anion corrections (eV per atom): 0.50
# Energy above the lowest structure with this stoichiometry (eV/atom): 0.042
# Energy (eV/atom): -6.689
data_Ta2CdS
_cell_length_a 3.9866
_cell_length_b 3.9866
_cell_length_c 10.1057
_cell_angle_alpha 78.62
_cell_angle_beta 78.62
_cell_angle_gamma 90.00
_symmetry_space_group_name_H-M 'P 1'
_symmetry_Int_Tables_number 1
loop_
_symmetry_equiv_pos_as_xyz
'x,y,z'
loop_
_atom_site_label
_atom_site_type_symbol
_atom_site_fract_x
_atom_site_fract_y
_atom_site_fract_z
_atom_site_occupancy
S1 S 0.2500 0.7500 0.5000 1
Ta1 Ta 0.6213 0.1250 0.2500 1
S2 S 0.5000 0.5000 0.0000 1
Ta2 Ta 0.8750 0.8713 0.7500 1
Cd1 Cd 0.7500 0.2500 0.5000 1
Ta3 Ta 0.3750 0.3787 0.7500 1
Ta4 Ta 0.1287 0.6250 0.2500 1
Cd2 Cd 0.0000 0.0000 0.0000 1

***

2.
# BAuI3 (GGA-PBE, relaxed)
# Formation energy without anion corrections (eV per atom): 0.90
# Energy above the lowest structure with this stoichiometry (eV/atom): 0.000
# Energy (eV/atom): -2.016
data_BAuI3
_cell_length_a 5.1188
_cell_length_b 5.1188
_cell_length_c 5.1188
_cell_angle_alpha 90.00
_cell_angle_beta 90.00
_cell_angle_gamma 90.00
_symmetry_space_group_name_H-M 'P 1'
_symmetry_Int_Tables_number 1
loop_
_symmetry_equiv_pos_as_xyz
'x,y,z'
loop_
_atom_site_label
_atom_site_type_symbol
_atom_site_fract_x
_atom_site_fract_y
_atom_site_fract_z
_atom_site_occupancy
I1 I 0.0000 0.0000 0.5000 1
Au1 Au 0.5000 0.5000 0.5000 1
I2 I 0.0000 0.5000 0.0000 1
B1 B 0.0000 0.0000 0.0000 1
I3 I 0.5000 0.0000 0.0000 1

***

3.
# HfZr2H2 (GGA-PBE, relaxed)
# Energy above the lowest structure with this stoichiometry (eV/atom): 0.034
# Energy (eV/atom): -6.985
data_HfZr2H2
_cell_length_a 5.8915
_cell_length_b 5.4801
_cell_length_c 6.1601
_cell_angle_alpha 73.60
_cell_angle_beta 58.30
_cell_angle_gamma 57.49
_symmetry_space_group_name_H-M 'P 1'
_symmetry_Int_Tables_number 1
loop_
_symmetry_equiv_pos_as_xyz
'x,y,z'
loop_
_atom_site_label
_atom_site_type_symbol
_atom_site_fract_x
_atom_site_fract_y
_atom_site_fract_z
_atom_site_occupancy
H1 H 0.2700 0.8359 0.5321 1
Zr1 Zr 0.8365 0.8272 0.7499 1
Zr2 Zr 0.5017 0.4968 0.2500 1
Zr3 Zr 0.4983 0.5032 0.7500 1
Hf1 Hf 0.8333 0.8334 0.2499 1
H2 H 0.3944 0.8359 0.9679 1
H3 H 0.6056 0.1641 0.0321 1
Zr4 Zr 0.1635 0.1728 0.2501 1
H4 H 0.7300 0.1641 0.4679 1
Hf2 Hf 0.1667 0.1666 0.7501 1

***

4.
# Rb2MnPb (GGA-PBE, relaxed)
# Energy of formation from the pure elements (eV per atom): 0.4297
# Energy (eV/atom): -3.274
data_Rb2MnPb
_cell_length_a 13.4702
_cell_length_b 13.4702
_cell_length_c 9.8752
_cell_angle_alpha 47.00
_cell_angle_beta 47.00
_cell_angle_gamma 90.00
_symmetry_space_group_name_H-M 'P 1'
_symmetry_Int_Tables_number 1
loop_
_symmetry_equiv_pos_as_xyz
'x,y,z'
loop_
_atom_site_label
_atom_site_type_symbol
_atom_site_fract_x
_atom_site_fract_y
_atom_site_fract_z
_atom_site_occupancy
Mn1 Mn 0.2500 0.7500 0.5000 1
Mn2 Mn 0.5000 0.5000 0.0000 1
Rb1 Rb 0.8750 0.6979 0.7500 1
Rb2 Rb 0.3021 0.6250 0.2500 1
Pb1 Pb 0.0000 0.0000 0.0000 1
Pb2 Pb 0.7500 0.2500 0.5000 1
Rb3 Rb 0.3750 0.5521 0.7500 1
Rb4 Rb 0.4479 0.1250 0.2500 1

***

5.
# DyScGeRu (GGA-PBE, relaxed)
# Energy of formation from the pure elements (eV per atom): -0.5200
# Energy (eV/atom): -6.727
data_DyScGeRu
_cell_length_a 4.7869
_cell_length_b 4.7869
_cell_length_c 4.7869
_cell_angle_alpha 60.00
_cell_angle_beta 60.00
_cell_angle_gamma 60.00
_symmetry_space_group_name_H-M 'P 1'
_symmetry_Int_Tables_number 1
loop_
_symmetry_equiv_pos_as_xyz
'x,y,z'
loop_
_atom_site_label
_atom_site_type_symbol
_atom_site_fract_x
_atom_site_fract_y
_atom_site_fract_z
_atom_site_occupancy
Dy1 Dy 0.0000 0.0000 0.0000 1
Sc1 Sc 0.5000 0.5000 0.5000 1
Ge1 Ge 0.2500 0.2500 0.2500 1
Ru1 Ru 0.7500 0.7500 0.7500 1

***

6.
# TiVSi3 (GGA-PBE, relaxed)
# Formation energy without anion corrections (eV per atom): 0.84
# Energy above the lowest structure with this stoichiometry (eV/atom): 0.355
# Energy (eV/atom): -5.818
data_TiVSi3
_cell_length_a 4.6653
_cell_length_b 4.6653
_cell_length_c 4.6653
_cell_angle_alpha 90.00
_cell_angle_beta 90.00
_cell_angle_gamma 90.00
_symmetry_space_group_name_H-M 'P 1'
_symmetry_Int_Tables_number 1
loop_
_symmetry_equiv_pos_as_xyz
'x,y,z'
loop_
_atom_site_label
_atom_site_type_symbol
_atom_site_fract_x
_atom_site_fract_y
_atom_site_fract_z
_atom_site_occupancy
Si1 Si 0.0000 0.0000 0.5000 1
Si2 Si 0.5000 0.0000 0.0000 1
Si3 Si 0.0000 0.5000 0.0000 1
Ti1 Ti 0.0000 0.0000 0.0000 1
V1 V 0.5000 0.5000 0.5000 1

***

7.
# Pm7Pr12In (GGA-PBE, relaxed)
# Energy of formation from the pure elements (eV per atom): 0.1259
# Energy (eV/atom): -4.541
data_Pm7Pr12In
_cell_length_a 8.8971
_cell_length_b 8.8971
_cell_length_c 8.8971
_cell_angle_alpha 89.51
_cell_angle_beta 89.51
_cell_angle_gamma 89.51
_symmetry_space_group_name_H-M 'P 1'
_symmetry_Int_Tables_number 1
loop_
_symmetry_equiv_pos_as_xyz
'x,y,z'
loop_
_atom_site_label
_atom_site_type_symbol
_atom_site_fract_x
_atom_site_fract_y
_atom_site_fract_z
_atom_site_occupancy
Pr1 Pr 0.3842 0.8551 0.4981 1
Pr2 Pr 0.2628 0.7405 0.8789 1
Pm1 Pm 0.8547 0.6195 0.9326 1
Pr3 Pr 0.8551 0.4981 0.3842 1
In1 In 0.0000 0.0000 0.0000 1
Pm2 Pm 0.6195 0.9326 0.8547 1
Pm3 Pm 0.1453 0.3805 0.0674 1
Pr4 Pr 0.6158 0.1449 0.5019 1
Pm4 Pm 0.5000 0.5000 0.5000 1
Pr5 Pr 0.7372 0.2595 0.1211 1
Pr6 Pr 0.1211 0.7372 0.2595 1
Pm5 Pm 0.0674 0.1453 0.3805 1
Pr7 Pr 0.2595 0.1211 0.7372 1
Pr8 Pr 0.5019 0.6158 0.1449 1
Pr9 Pr 0.7405 0.8789 0.2628 1
Pm6 Pm 0.9326 0.8547 0.6195 1
Pr10 Pr 0.4981 0.3842 0.8551 1
Pm7 Pm 0.3805 0.0674 0.1453 1
Pr11 Pr 0.8789 0.2628 0.7405 1
Pr12 Pr 0.1449 0.5019 0.6158 1

***

8.
# P2OsSe (GGA-PBE, relaxed)
# Formation energy without anion corrections (eV per atom): 0.71
# Energy (eV/atom): -5.671
data_P2OsSe
_cell_length_a 4.3855
_cell_length_b 4.3855
_cell_length_c 4.3855
_cell_angle_alpha 60.00
_cell_angle_beta 60.00
_cell_angle_gamma 60.00
_symmetry_space_group_name_H-M 'P 1'
_symmetry_Int_Tables_number 1
loop_
_symmetry_equiv_pos_as_xyz
'x,y,z'
loop_
_atom_site_label
_atom_site_type_symbol
_atom_site_fract_x
_atom_site_fract_y
_atom_site_fract_z
_atom_site_occupancy
Se1 Se 0.7500 0.7500 0.7500 1
P1 P 0.0000 0.0000 0.0000 1
P2 P 0.2500 0.2500 0.2500 1
Os1 Os 0.5000 0.5000 0.5000 1